## TbGdGa3Si2 (GGA-PBE)

Data for an optimized crystal structure of TbGdGa3Si2.

Output
- Energy: -4.733 eV/atom
- Mass density: 7.05 g/cm³
- Volume: 19.6 Å³ per atom
- Magnetization: 0.00 μB/f.u.

The structure in CIF format:
```
data_TbGdGa3Si2
_symmetry_space_group_name_H-M 'C 1 m 1'
_symmetry_Int_Tables_number 8
_symmetry_space_group_name_Hall 'C -2y'
_cell_length_a 10.333
_cell_length_b 4.083
_cell_length_c 6.624
_cell_angle_alpha 90.00
_cell_angle_beta 101.35
_cell_angle_gamma 90.00
loop_
_atom_site_label
_atom_site_type_symbol
_atom_site_fract_x
_atom_site_fract_y
_atom_site_fract_z
Tb1 Tb 0.000 0.000 0.000
Gd1 Gd 0.262 0.500 0.369
Ga1 Ga 0.077 0.000 0.544
Ga2 Ga 0.185 0.500 0.825
Ga3 Ga 0.381 0.000 0.685
Si1 Si 0.288 0.000 0.050
Si2 Si 0.474 0.000 0.317
```